# 1
Here is an optimized crystal structure of Cr2SiAg from Alexandria via LeMat-Bulk. Energies are from PBE.

Uncorrected energy   -26.40 eV/f.u.
Space-group type   No. 44

Lattice parameters (Å, degrees): 3.0628 4.4237 8.3123 90.00 90.00 90.00
Sites, in units of the cell vectors:
1 Cr 0.0000 0.0000 0.0000
2 Cr 0.0000 0.5000 0.2635
3 Cr 0.5000 0.0000 0.7635
4 Cr 0.5000 0.5000 0.5000
5 Si 0.0000 0.5000 0.7372
6 Si 0.5000 0.0000 0.2372
7 Ag 0.0000 0.0000 0.4857
8 Ag 0.5000 0.5000 0.9857

=====

# 2
Here is an optimized crystal structure of Ca2Cd2Ga from Alexandria via LeMat-Bulk. Energies are from PBE.

E_form   -0.26 eV/atom
Energy above the most stable polymorph in this dataset   0.26 eV/f.u.
Space-group type   No. 127

Lattice parameters (Å, degrees): 7.5869 7.5869 4.7228 90.00 90.00 90.00
Sites, in units of the cell vectors:
1 Ca 0.1740 0.3260 0.0000
2 Ca 0.3260 0.8260 0.0000
3 Ca 0.6740 0.1740 0.0000
4 Ca 0.8260 0.6740 0.0000
5 Cd 0.1333 0.6333 0.5000
6 Cd 0.3667 0.1333 0.5000
7 Cd 0.6333 0.8667 0.5000
8 Cd 0.8667 0.3667 0.5000
9 Ga 0.0000 0.0000 0.5000
10 Ga 0.5000 0.5000 0.5000

=====

# 3
Here is an optimized crystal structure of NaPm2Zn from Alexandria via LeMat-Bulk. Energies are from PBE.

E_form   -0.04 eV/atom
Energy above the most stable polymorph in this dataset   0.00 eV/f.u.
Space-group type   No. 123

Lattice parameters (Å, degrees): 3.6695 3.6695 8.8606 90.00 90.00 90.00
Sites, in units of the cell vectors:
1 Na 0.0000 0.0000 0.0000
2 Pm 0.5000 0.5000 0.3043
3 Pm 0.5000 0.5000 0.6957
4 Zn 0.0000 0.0000 0.5000

=====

For each record above, in turn, the calculated DOS at the Fermi energy values are 5.3, 6.8, 4.2 states/eV/cell.
For each record above, in turn, the calculated M_tot values are 0.56, 0.00, 0.00 μB/f.u..